Entry 1:
This record from the Alexandria database describes crystalline CaLa2Pt at its relaxed geometry. The functional is PBE-GGA.

Cell: 3.714 3.714 9.724 Å, 90.00 90.00 90.10°
Atoms (fractional coordinates):
La 0.000 0.000 0.077
La 0.000 0.000 0.423
Pt 0.500 0.500 0.250
Ca 0.500 0.500 0.750

Results
Calculated formation energy (eV per atom): -0.524
Energy relative to the lowest polymorph listed for this composition (meV per atom): 62
VASP energy (eV/atom): -4.999
Fermi-level density of states (states/eV per atom): 1.34
Total magnetization (μB/f.u.): 0.00

=====

Entry 2:
This record from the Alexandria database describes crystalline HfAlO2 at its relaxed geometry. The functional is PBE-GGA.

Cell: 6.703 6.703 6.703 Å, 26.86 26.86 26.86°
Atoms (fractional coordinates):
O 0.894 0.894 0.894
O 0.106 0.106 0.106
Hf 0.500 0.500 0.500
Al 0.000 0.000 0.000

Results
Raw formation energy (eV/atom): -2.224
VASP energy (eV/atom): -8.127
Fermi-level density of states (states/eV per atom): 0.62
Total magnetization (μB/f.u.): 0.00

=====

Entry 3:
This record from the Alexandria database describes crystalline LiAcMg2Zn4 at its relaxed geometry. The functional is PBE-GGA.

Cell: 4.581 4.581 9.605 Å, 76.20 76.20 60.00°
Atoms (fractional coordinates):
Li 0.500 0.500 0.500
Zn 0.133 0.133 0.602
Zn 0.867 0.867 0.398
Zn 0.403 0.403 0.790
Zn 0.597 0.597 0.210
Mg 0.764 0.764 0.708
Mg 0.236 0.236 0.292
Ac 0.000 0.000 0.000

Results
Calculated formation energy (eV per atom): -0.169
VASP energy (eV/atom): -1.957
Fermi-level density of states (states/eV per atom): 0.54
Total magnetization (μB/f.u.): 0.00

=====

Entry 4:
This record from the Alexandria database describes crystalline LiPPb2 at its relaxed geometry. The functional is PBE-GGA.

Cell: 5.171 5.171 5.171 Å, 60.00 60.00 60.00°
Atoms (fractional coordinates):
Pb 0.250 0.250 0.250
Pb 0.000 0.000 0.000
Li 0.500 0.500 0.500
P 0.750 0.750 0.750

Results
Calculated formation energy (eV per atom): 0.177
VASP energy (eV/atom): -3.508
Fermi-level density of states (states/eV per atom): 0.79
Total magnetization (μB/f.u.): 0.00

=====

Entry 5:
This record from the Alexandria database describes crystalline ZnGa2 at its relaxed geometry. The functional is PBE-GGA.

Cell: 2.899 2.899 6.600 Å, 102.69 102.69 90.00°
Atoms (fractional coordinates):
Ga 0.660 0.660 0.320
Ga 0.340 0.340 0.680
Zn 0.000 0.000 0.000

Results
Calculated formation energy (eV per atom): 0.029
VASP energy (eV/atom): -2.414
Fermi-level density of states (states/eV per atom): 0.32
Total magnetization (μB/f.u.): 0.00

=====

Entry 6:
This record from the Alexandria database describes crystalline LiCa2Ga4Au3 at its relaxed geometry. The functional is PBE-GGA.

Cell: 4.216 4.216 11.543 Å, 90.00 90.00 90.00°
Atoms (fractional coordinates):
Au 0.000 0.500 0.144
Au 0.500 0.000 0.856
Au 0.000 0.000 0.500
Ca 0.000 0.500 0.751
Ca 0.500 0.000 0.249
Ga 0.500 0.500 0.000
Ga 0.500 0.000 0.636
Ga 0.000 0.500 0.364
Ga 0.000 0.000 0.000
Li 0.500 0.500 0.500

Results
Calculated formation energy (eV per atom): -0.542
VASP energy (eV/atom): -3.328
Fermi-level density of states (states/eV per atom): 0.52
Total magnetization (μB/f.u.): 0.00

=====

Entry 7:
This record from the Alexandria database describes crystalline Zr2ZnBr at its relaxed geometry. The functional is PBE-GGA.

Cell: 4.830 4.830 4.830 Å, 60.00 60.00 60.00°
Atoms (fractional coordinates):
Zr 0.750 0.750 0.750
Zr 0.250 0.250 0.250
Br 0.500 0.500 0.500
Zn 0.000 0.000 0.000

Results
Energy relative to the lowest polymorph listed for this composition (meV per atom): 277
Raw formation energy (eV/atom): -0.028
VASP energy (eV/atom): -5.039
Fermi-level density of states (states/eV per atom): 1.78
Total magnetization (μB/f.u.): 0.00

=====

Entry 8:
This record from the Alexandria database describes crystalline YIn5P at its relaxed geometry. The functional is PBE-GGA.

Cell: 4.452 4.452 9.082 Å, 90.00 90.00 90.00°
Atoms (fractional coordinates):
In 0.000 0.500 0.283
In 0.000 0.500 0.717
In 0.500 0.500 0.000
In 0.500 0.000 0.717
In 0.500 0.000 0.283
P 0.000 0.000 0.500
Y 0.000 0.000 0.000

Results
Calculated formation energy (eV per atom): -0.061
VASP energy (eV/atom): -3.714
Fermi-level density of states (states/eV per atom): 0.48
Total magnetization (μB/f.u.): 0.00

=====

Entry 9:
This record from the Alexandria database describes crystalline Ba3CrAs3 at its relaxed geometry. The functional is PBE-GGA.

Cell: 6.959 10.630 13.332 Å, 90.00 90.00 109.11°
Atoms (fractional coordinates):
Ba 0.510 0.647 0.130
Ba 0.161 0.000 0.659
Ba 0.136 0.647 0.870
Ba 0.661 0.000 0.841
Ba 0.864 0.353 0.130
Ba 0.490 0.353 0.870
Ba 0.839 0.000 0.341
Ba 0.339 0.000 0.159
Ba 0.990 0.353 0.630
Ba 0.364 0.353 0.370
Ba 0.636 0.647 0.630
Ba 0.010 0.647 0.370
As 0.336 0.309 0.116
As 0.664 0.691 0.884
As 0.164 0.691 0.616
As 0.836 0.309 0.384
As 0.709 0.000 0.590
As 0.973 0.309 0.884
As 0.527 0.691 0.384
As 0.791 0.000 0.090
As 0.209 0.000 0.910
As 0.473 0.309 0.616
As 0.027 0.691 0.116
As 0.291 0.000 0.410
Cr 0.922 0.844 0.000
Cr 0.078 0.156 0.000
Cr 0.578 0.156 0.500
Cr 0.422 0.844 0.500

Results
Calculated formation energy (eV per atom): -0.847
VASP energy (eV/atom): -5.038
Fermi-level density of states (states/eV per atom): 0.40
Total magnetization (μB/f.u.): 3.00

=====

Q: The highest total magnetization belongs to which entry?
A: Ba3CrAs3

=====

Q: The highest VASP energy belongs to which entry?
A: LiAcMg2Zn4

=====

Q: Which of these has the lowest Fermi-level density of states?
A: ZnGa2

=====

Q: Which formula does entry 9 have?
A: Ba3CrAs3